No. 1
Density functional theory data (PBE) for crystalline Nd3Ga8Au3 at its relaxed geometry.

Structure (POSCAR):
```
Nd3Ga8Au3
1.0
-2.206 4.845 6.566
2.206 -4.845 6.566
2.206 4.845 -6.566
Nd Ga Au
3 8 3
Direct
0.000 0.000 0.000
0.307 0.307 0.000
0.693 0.693 0.000
0.032 0.662 0.369
0.138 0.859 0.280
0.293 0.662 0.631
0.421 0.141 0.280
0.579 0.859 0.720
0.707 0.338 0.369
0.862 0.141 0.720
0.968 0.338 0.631
0.290 0.500 0.790
0.500 0.000 0.500
0.710 0.500 0.210
```

Its crystal system is orthorhombic. The value obtained for the formation enthalpy at 0 K is -580 meV per atom. The calculation puts the polymorph energy (0 for the lowest one) at 6 meV per atom.



No. 2
Density functional theory data (PBE) for crystalline Nd2DyZn2 at its relaxed geometry.

Structure (POSCAR):
```
Nd2DyZn2
1.0
1.833 -10.159 0.000
1.833 10.159 0.000
0.000 0.000 3.575
Nd Dy Zn
2 1 2
Direct
0.174 0.826 0.000
0.826 0.174 0.000
0.000 0.000 0.000
0.418 0.582 0.500
0.582 0.418 0.500
```

Its crystal system is orthorhombic. The value obtained for the formation enthalpy at 0 K is -196 meV per atom. The calculation puts the polymorph energy (0 for the lowest one) at 0 meV per atom.



No. 3
Density functional theory data (PBE) for crystalline KHfIn at its relaxed geometry.

Structure (POSCAR):
```
KHfIn
1.0
4.875 0.000 0.000
-2.436 4.225 0.000
-2.369 -1.440 11.665
K Hf In
2 2 2
Direct
0.000 0.000 0.000
0.424 0.220 0.646
0.213 0.112 0.323
0.546 0.779 0.323
0.798 0.403 0.198
0.961 0.488 0.448
```

Its crystal system is triclinic. The value obtained for the formation enthalpy at 0 K is 187 meV per atom. The calculation puts the polymorph energy (0 for the lowest one) at 178 meV per atom.



No. 4
Density functional theory data (PBE) for crystalline Er8OsRu2 at its relaxed geometry.

Structure (POSCAR):
```
Er8OsRu2
1.0
4.121 -6.256 0.000
4.121 6.256 0.000
-1.920 0.000 5.451
Er Os Ru
8 1 2
Direct
0.000 0.000 0.000
0.025 0.282 0.603
0.149 0.578 0.190
0.282 0.025 0.603
0.433 0.689 0.790
0.578 0.149 0.190
0.689 0.433 0.790
0.716 0.716 0.374
0.359 0.359 0.051
0.041 0.663 0.683
0.663 0.041 0.683
```

Its crystal system is monoclinic. The value obtained for the formation enthalpy at 0 K is -230 meV per atom. The calculation puts the polymorph energy (0 for the lowest one) at 61 meV per atom.



No. 5
Density functional theory data (PBE) for crystalline ErTl2GaSe4 at its relaxed geometry.

Structure (POSCAR):
```
ErTl2GaSe4
1.0
-4.207 4.247 6.061
4.207 -4.247 6.061
4.207 4.247 -6.061
Er Tl Ga Se
2 4 2 8
Direct
0.000 0.000 0.000
0.500 0.000 0.500
0.000 0.500 0.500
0.500 0.000 0.000
0.500 0.500 0.000
0.500 0.500 0.500
0.000 0.000 0.500
0.000 0.500 0.000
0.200 0.238 0.961
0.223 0.762 0.461
0.231 0.206 0.475
0.231 0.756 0.025
0.769 0.244 0.975
0.769 0.794 0.525
0.777 0.238 0.539
0.800 0.762 0.039
```

Its crystal system is orthorhombic.



No. 6
Density functional theory data (PBE) for crystalline Li2La2CdPt5 at its relaxed geometry.

Structure (POSCAR):
```
Li2La2CdPt5
1.0
9.609 0.000 0.000
0.000 9.609 0.000
0.000 0.000 3.924
Li La Cd Pt
4 4 2 10
Direct
0.117 0.383 0.000
0.383 0.883 0.000
0.617 0.117 0.000
0.883 0.617 0.000
0.181 0.681 0.000
0.319 0.181 0.000
0.681 0.819 0.000
0.819 0.319 0.000
0.000 0.000 0.000
0.500 0.500 0.000
0.000 0.500 0.500
0.066 0.214 0.500
0.214 0.934 0.500
0.286 0.434 0.500
0.434 0.714 0.500
0.500 0.000 0.500
0.566 0.286 0.500
0.714 0.566 0.500
0.786 0.066 0.500
0.934 0.786 0.500
```

Its crystal system is tetragonal. The value obtained for the formation enthalpy at 0 K is -808 meV per atom.



No. 7
Density functional theory data (PBE) for crystalline KCr2P at its relaxed geometry.

Structure (POSCAR):
```
KCr2P
1.0
3.124 0.000 0.000
0.000 3.124 0.000
0.000 0.000 7.717
K Cr P
1 2 1
Direct
0.000 0.000 0.000
0.500 0.500 0.369
0.500 0.500 0.631
0.000 0.000 0.500
```

Its crystal system is tetragonal. The value obtained for the formation enthalpy at 0 K is 527 meV per atom.



No. 8
Density functional theory data (PBE) for crystalline YEr2Ru at its relaxed geometry.

Structure (POSCAR):
```
YEr2Ru
1.0
1.963 -5.907 0.000
1.963 5.907 0.000
0.000 0.000 8.986
Y Er Ru
2 4 2
Direct
0.073 0.927 0.750
0.927 0.073 0.250
0.356 0.644 0.566
0.356 0.644 0.934
0.644 0.356 0.066
0.644 0.356 0.434
0.256 0.744 0.250
0.744 0.256 0.750
```

Its crystal system is orthorhombic. The value obtained for the formation enthalpy at 0 K is -324 meV per atom. The calculation puts the polymorph energy (0 for the lowest one) at 17 meV per atom.



no.,M_tot (μB/atom),raw total energy (eV/atom)
1,0.0000,-4.0332
2,0.0988,-3.5332
3,0.0000,-4.4090
4,0.0000,-6.2556
5,0.0000,-4.0868
6,0.0000,-5.2877
7,0.0234,-5.9119
8,0.0000,-6.5409